[1]
A plane-wave DFT calculation with PBE was carried out for LiPm3Sb2 after structural relaxation.

Computed properties:
- crystal system = monoclinic
- E (eV/atom) = -4.717

The structure in POSCAR format:
```
LiPm3Sb2
1.0
-2.7322 5.5117 -1.6958
-6.8263 -4.3829 -3.2474
0.0570 -1.3241 7.6107
Li Pm Sb
2 6 4
Direct
0.8044 0.7500 0.0000 Li
0.1956 0.2500 0.0000 Li
0.6733 0.2500 0.0000 Pm
0.3267 0.7500 0.0000 Pm
0.1868 0.0922 0.3678 Pm
0.8190 0.4078 0.6322 Pm
0.1810 0.5922 0.3678 Pm
0.8132 0.9078 0.6322 Pm
0.6484 0.5749 0.3035 Sb
0.6550 0.0749 0.3035 Sb
0.3450 0.9251 0.6965 Sb
0.3516 0.4251 0.6965 Sb
```

***

[2]
A plane-wave DFT calculation with PBE was carried out for TmLuHgPt after structural relaxation.

Computed properties:
- DFT formation energy (eV per atom) = -0.862
- crystal system = cubic

The structure in POSCAR format:
```
TmLuHgPt
1.0
-0.2022 -2.2135 -4.4868
4.2223 -1.4409 -2.2734
1.0702 -4.8718 -0.4388
Lu Tm Hg Pt
1 1 1 1
Direct
0.0000 0.0000 0.0000 Lu
0.5000 0.5000 0.5000 Tm
0.2500 0.2500 0.2500 Hg
0.7500 0.7500 0.7500 Pt
```

***

[3]
A plane-wave DFT calculation with PBE was carried out for PmIn2BiTe4 after structural relaxation.

Computed properties:
- crystal system = monoclinic
- E (eV/atom) = -3.942

The structure in POSCAR format:
```
PmIn2BiTe4
1.0
-2.4784 3.6307 1.1154
-6.2092 -4.9846 2.4285
0.9923 -1.6749 7.6571
Pm In Bi Te
1 2 1 4
Direct
0.0000 0.5000 0.5000 Pm
0.0000 0.0000 0.0000 In
0.5000 0.0000 0.5000 In
0.5000 0.5000 0.0000 Bi
0.0000 0.7298 0.7549 Te
0.0000 0.2702 0.2451 Te
0.5000 0.7280 0.2594 Te
0.5000 0.2720 0.7406 Te
```

***

For reference, total magnetic moment by record: 0.17, 0.00, 0.00 μB/f.u..